Material: Cu9Pd2Rh
Method: DFT, PBE
State: relaxed

Output
The density of states at the Fermi level is 8.30 states/eV per cell. The value obtained for the calculated formation energy is -51 meV per atom. As for the final energy: -4.6008 eV/atom. The symmetry is P4/mmm.

Cell: 3.712 3.712 11.151 Å, 90.00 90.00 90.00°
Positions (direct):
Cu: 0.500 0.500 0.667
Cu: 0.500 0.000 0.165
Cu: 0.500 0.500 0.000
Pd: 0.000 0.000 0.332
Cu: 0.500 0.000 0.500
Cu: 0.500 0.500 0.333
Cu: 0.000 0.500 0.500
Cu: 0.500 0.000 0.835
Rh: 0.000 0.000 0.000
Cu: 0.000 0.500 0.165
Cu: 0.000 0.500 0.835
Pd: 0.000 0.000 0.668